Record 1
## HfMnAu (GGA-PBE)

Data for a relaxed HfMnAu crystal.

a b c (Å): 7.6440 7.6440 7.6440
angles (deg): 158.00 158.00 31.32
With the nearest neighbours (Å) after each atom.
Sites, in units of the cell vectors:
Hf 0.0000 0.0000 0.0000  1 Mn 2.68, 4 Au 2.91, 4 Hf 2.92
Mn 0.8177 0.8177 0.0000  1 Au 2.62, 1 Hf 2.68, 4 Mn 2.92
Au 0.6397 0.6397 0.0000  1 Mn 2.62, 4 Hf 2.91, 4 Au 2.92

Calculated values
SG   I4mm
ΔE_f   543.5 meV/atom

=====

Record 2
## HfMn2Au2 (GGA-PBE)

Data for a relaxed HfMn2Au2 crystal.

a b c (Å): 7.3242 7.3242 3.2183
angles (deg): 90.00 90.00 90.00
With the nearest neighbours (Å) after each atom.
Sites, in units of the cell vectors:
Hf 0.0000 0.0000 0.0000  4 Mn 2.81
Hf 0.5000 0.5000 0.0000  4 Mn 2.81
Mn 0.1452 0.3548 0.0000  6 Au 2.64-2.71, 2 Hf 2.81
Mn 0.3548 0.8548 0.0000  6 Au 2.64-2.71, 2 Hf 2.81
Mn 0.6452 0.1452 0.0000  6 Au 2.64-2.71, 2 Hf 2.81
Mn 0.8548 0.6452 0.0000  6 Au 2.64-2.71, 2 Hf 2.81
Au 0.1531 0.6531 0.5000  6 Mn 2.64-2.71
Au 0.3469 0.1531 0.5000  6 Mn 2.64-2.71
Au 0.6531 0.8469 0.5000  6 Mn 2.64-2.71
Au 0.8469 0.3469 0.5000  6 Mn 2.64-2.71

Calculated values
SG   P4/mbm
ΔE_f   5.3 meV/atom

=====

Record 3
## Hf3MnAu (GGA-PBE)

Data for a relaxed Hf3MnAu crystal.

a b c (Å): 4.7497 4.7497 4.7497
angles (deg): 90.00 90.00 90.00
With the nearest neighbours (Å) after each atom.
Sites, in units of the cell vectors:
Hf 0.0000 0.0000 0.5000  2 Mn 2.37
Hf 0.0000 0.5000 0.0000  2 Mn 2.37
Hf 0.5000 0.0000 0.0000  2 Mn 2.37
Mn 0.0000 0.0000 0.0000  6 Hf 2.37
Au 0.5000 0.5000 0.5000  12 Hf 3.36

Calculated values
SG   Pm-3m
ΔE_f   290.2 meV/atom

=====

Record 4
## HfMn3Au (GGA-PBE)

Data for a relaxed HfMn3Au crystal.

a b c (Å): 4.8248 4.8248 4.8248
angles (deg): 90.00 90.00 90.00
With the nearest neighbours (Å) after each atom.
Sites, in units of the cell vectors:
Hf 0.0000 0.0000 0.0000  12 Mn 3.41
Mn 0.0000 0.5000 0.5000  2 Au 2.41
Mn 0.5000 0.0000 0.5000  2 Au 2.41
Mn 0.5000 0.5000 0.0000  2 Au 2.41
Au 0.5000 0.5000 0.5000  6 Mn 2.41

Calculated values
SG   Pm-3m
ΔE_f   1073.5 meV/atom

=====

Record 5
## HfMnAu3 (GGA-PBE)

Data for a relaxed HfMnAu3 crystal.

a b c (Å): 5.1768 5.1768 5.1768
angles (deg): 90.00 90.00 90.00
With the nearest neighbours (Å) after each atom.
Sites, in units of the cell vectors:
Hf 0.0000 0.0000 0.0000  6 Au 2.59
Mn 0.5000 0.5000 0.5000  12 Au 3.66
Au 0.0000 0.0000 0.5000  2 Hf 2.59
Au 0.0000 0.5000 0.0000  2 Hf 2.59
Au 0.5000 0.0000 0.0000  2 Hf 2.59

Calculated values
SG   Pm-3m
ΔE_f   815.6 meV/atom

=====

Record 6
## HfMn3Au (GGA-PBE)

Data for a relaxed HfMn3Au crystal.

a b c (Å): 4.7117 4.7117 4.7117
angles (deg): 90.00 90.00 90.00
With the nearest neighbours (Å) after each atom.
Sites, in units of the cell vectors:
Hf 0.0000 0.0000 0.0000  6 Mn 2.36
Mn 0.0000 0.0000 0.5000  2 Hf 2.36
Mn 0.0000 0.5000 0.0000  2 Hf 2.36
Mn 0.5000 0.0000 0.0000  2 Hf 2.36
Au 0.5000 0.5000 0.5000  12 Mn 3.33

Calculated values
SG   Pm-3m
ΔE_f   1353.0 meV/atom

=====

Record 7
## Hf2MnAu (GGA-PBE)

Data for a relaxed Hf2MnAu crystal.

a b c (Å): 9.9826 9.9826 9.9826
angles (deg): 156.11 156.11 34.04
With the nearest neighbours (Å) after each atom.
Sites, in units of the cell vectors:
Hf 0.1204 0.6250 0.9954  2 Mn 2.79, 2 Au 2.81, 4 Hf 2.90-2.95
Hf 0.3750 0.3704 0.4954  2 Mn 2.79, 2 Au 2.81, 4 Hf 2.90-2.95
Hf 0.6296 0.1250 0.0046  2 Mn 2.79, 2 Au 2.81, 4 Hf 2.90-2.95
Hf 0.8750 0.8796 0.5046  2 Mn 2.79, 2 Au 2.81, 4 Hf 2.90-2.95
Mn 0.0000 0.0000 0.0000  4 Hf 2.79, 4 Au 2.92
Mn 0.7500 0.2500 0.5000  4 Hf 2.79, 4 Au 2.92
Au 0.2500 0.7500 0.5000  4 Hf 2.81, 4 Mn 2.92
Au 0.5000 0.5000 0.0000  4 Hf 2.81, 4 Mn 2.92

Calculated values
SG   I-42d
ΔE_f   391.6 meV/atom

=====

Record 8
## Hf6MnAu2 (GGA-PBE)

Data for a relaxed Hf6MnAu2 crystal.

a b c (Å): 3.3543 7.8292 7.8292
angles (deg): 119.86 90.00 90.00
With the nearest neighbours (Å) after each atom.
Sites, in units of the cell vectors:
Hf 0.0000 0.0000 0.0000  2 Mn 2.55
Hf 0.0000 0.5081 0.7528  2 Mn 2.55
Hf 0.0000 0.7528 0.5081  2 Mn 2.55
Hf 0.5000 0.1461 0.7531  4 Au 2.93-2.94, 1 Mn 3.07, 4 Hf 3.17-3.18
Hf 0.5000 0.3609 0.3609  4 Au 2.94, 1 Mn 3.09, 6 Hf 3.17-3.29
Hf 0.5000 0.7531 0.1461  4 Au 2.93-2.94, 1 Mn 3.07, 4 Hf 3.17-3.18
Mn 0.5000 0.7553 0.7553  6 Hf 2.55
Au 0.0000 0.0862 0.4200  9 Hf 2.93-3.02
Au 0.0000 0.4200 0.0862  9 Hf 2.93-3.02

Calculated values
SG   Amm2
ΔE_f   -268.8 meV/atom

=====

Q: The highest ΔE_f belongs to which entry?
A: number 6